Here is a geometry-optimized LaIn2Te4 structure from Alexandria via LeMat-Bulk. Energies are from PBE-GGA.

Its raw formation energy is -545 meV/atom. The calculation puts the density at 5.6 g/cm3. As for the symmetry: I4/m, No. 87.

abc: 7.0132 7.0132 7.0132
angles: 105.97 105.97 116.72
Atoms (fractional coordinates):
1 Te 0.7026 0.8226 0.5252
2 Te 0.2974 0.1774 0.4748
3 Te 0.1774 0.7026 0.8800
4 Te 0.8226 0.2974 0.1200
5 La 0.5000 0.5000 0.0000
6 In 0.2500 0.7500 0.5000
7 In 0.7500 0.2500 0.5000

---

Here is a geometry-optimized PmHoZn10 structure from Alexandria via LeMat-Bulk. Energies are from PBE-GGA.

The calculation puts the density at 7.7 g/cm3. As for the symmetry: Pmmm, No. 47. The value obtained for the formation energy from the elements is -0.283 eV per atom.

abc: 4.2247 5.3390 9.2226
angles: 90.00 90.00 90.00
Atoms (fractional coordinates):
1 Zn 0.5000 0.2513 0.7476
2 Zn 0.5000 0.2513 0.2524
3 Zn 0.0000 0.0000 0.6624
4 Zn 0.5000 0.5000 0.0000
5 Zn 0.0000 0.5000 0.1706
6 Zn 0.0000 0.0000 0.3376
7 Zn 0.5000 0.7487 0.2524
8 Zn 0.0000 0.5000 0.8294
9 Zn 0.5000 0.0000 0.5000
10 Zn 0.5000 0.7487 0.7476
11 Ho 0.0000 0.5000 0.5000
12 Pm 0.0000 0.0000 0.0000